Record 1
VASP calculation (PBE) on a relaxed TbSmDy2Ho crystal.

raw total energy: -4.263 eV per atom
Fermi-level density of states: 17.29 states/eV per cell
ΔH_f (0 K): 0.3637 eV per atom

Unit cell a=8.880 b=8.880 c=6.380 alpha=90.00 beta=90.00 gamma=137.86
Positions (direct):
1 Tb 0.156 0.844 0.750
2 Tb 0.844 0.156 0.250
3 Sm 0.342 0.658 0.750
4 Sm 0.658 0.342 0.250
5 Dy 0.250 0.250 0.000
6 Dy 0.250 0.250 0.500
7 Dy 0.750 0.750 0.000
8 Dy 0.750 0.750 0.500
9 Ho 0.253 0.747 0.250
10 Ho 0.747 0.253 0.750


Record 2
VASP calculation (PBE) on a relaxed TbTm8Th2 crystal.

raw total energy: -4.833 eV per atom
Fermi-level density of states: 15.40 states/eV per cell
excess energy over the best structure of this formula in the dataset: 0 meV/atom
ΔH_f (0 K): 0.1889 eV per atom

Unit cell a=8.897 b=8.897 c=6.568 alpha=99.08 beta=99.08 gamma=42.86
Positions (direct):
1 Tb 0.000 0.000 0.000
2 Tm 0.174 0.654 0.595
3 Tm 0.200 0.200 0.816
4 Tm 0.346 0.826 0.405
5 Tm 0.410 0.410 0.096
6 Tm 0.590 0.590 0.904
7 Tm 0.654 0.174 0.595
8 Tm 0.800 0.800 0.184
9 Tm 0.826 0.346 0.405
10 Th 0.248 0.248 0.335
11 Th 0.752 0.752 0.665


Record 3
VASP calculation (PBE) on a relaxed TbPm15Tm4 crystal.

raw total energy: -4.676 eV per atom
Fermi-level density of states: 26.09 states/eV per cell
ΔH_f (0 K): 0.0124 eV per atom

Unit cell a=5.113 b=5.113 c=25.464 alpha=90.00 beta=90.00 gamma=90.00
Positions (direct):
1 Tb 0.000 0.000 0.000
2 Pm 0.000 0.500 0.101
3 Pm 0.000 0.500 0.300
4 Pm 0.000 0.500 0.500
5 Pm 0.000 0.500 0.700
6 Pm 0.000 0.500 0.899
7 Pm 0.500 0.000 0.101
8 Pm 0.500 0.000 0.300
9 Pm 0.500 0.000 0.500
10 Pm 0.500 0.000 0.700
11 Pm 0.500 0.000 0.899
12 Pm 0.500 0.500 0.000
13 Pm 0.500 0.500 0.201
14 Pm 0.500 0.500 0.400
15 Pm 0.500 0.500 0.600
16 Pm 0.500 0.500 0.799
17 Tm 0.000 0.000 0.201
18 Tm 0.000 0.000 0.400
19 Tm 0.000 0.000 0.600
20 Tm 0.000 0.000 0.799